VASP calculation (PBE) on a geometry-optimized RbLiGe3 structure.

The structure in CIF format:
```
data_RbLiGe3
_space_group_name_H-M_alt 'P m -3 m'
_space_group_IT_number 221
_space_group_name_Hall '-P 4 2 3'
_cell_length_a 4.947
_cell_length_b 4.947
_cell_length_c 4.947
_cell_angle_alpha 90.00
_cell_angle_beta 90.00
_cell_angle_gamma 90.00
loop_
_atom_site_label
_atom_site_fract_x
_atom_site_fract_y
_atom_site_fract_z
Rb1 0.000 0.000 0.000
Li1 0.500 0.500 0.500
Ge1 0.000 0.500 0.500
```

Output
energy of formation: 0.34 eV/atom
offset from the most stable computed form: 0.0000 eV/atom
volume: 121.1 Å³/cell